Entry 1:
{"formula": "KLiLa2", "functional": "GGA-PBEsol", "state": "relaxed", "polymorph_energy_mev_per_atom": 0, "crystal_system": "tetragonal", "ef_ev_per_atom": 0.3186, "spacegroup": "P4/mmm", "vol_a3_per_atom": 37.28, "mass_density_g_cm3": 3.6, "lattice_angstrom": [[-0.261, -3.769, 0.643], [3.796, -0.333, -0.410], [1.217, 1.613, 9.952]], "species": ["Li", "K", "La", "La"], "fractional_positions": [[0.500, 0.500, 0.000], [0.500, 0.500, 0.500], [0.000, 0.000, 0.158], [0.000, 0.000, 0.842]]}

=====

Entry 2:
{"formula": "Co2Pt", "functional": "GGA-PBEsol", "state": "relaxed", "crystal_system": "cubic", "ef_ev_per_atom": 0.0224, "spacegroup": "Fd-3m", "vol_a3_per_atom": 12.00, "mass_density_g_cm3": 14.4, "lattice_angstrom": [[4.669, 0.000, 0.000], [2.335, 4.044, 0.000], [2.335, 1.348, 3.812]], "species": ["Co", "Co", "Co", "Co", "Pt", "Pt"], "fractional_positions": [[0.125, 0.125, 0.625], [0.125, 0.125, 0.125], [0.125, 0.625, 0.125], [0.625, 0.125, 0.125], [0.750, 0.750, 0.750], [0.500, 0.500, 0.500]]}

=====

Entry 3:
{"formula": "CrRh3", "functional": "GGA-PBEsol", "state": "relaxed", "crystal_system": "orthorhombic", "ef_ev_per_atom": -0.1157, "spacegroup": "Pmmn", "vol_a3_per_atom": 12.86, "mass_density_g_cm3": 11.6, "lattice_angstrom": [[4.191, 0.000, 0.000], [0.000, 4.621, 0.000], [0.000, 0.000, 5.313]], "species": ["Cr", "Cr", "Rh", "Rh", "Rh", "Rh", "Rh", "Rh"], "fractional_positions": [[0.000, 0.671, 0.000], [0.500, 0.329, 0.500], [0.500, 0.830, 0.251], [0.500, 0.342, 0.000], [0.000, 0.658, 0.500], [0.000, 0.170, 0.751], [0.000, 0.170, 0.249], [0.500, 0.830, 0.749]]}

=====

Entry 4:
{"formula": "SrCaTe", "functional": "GGA-PBEsol", "state": "relaxed", "crystal_system": "cubic", "formation_energy_uncorrected_mev_per_atom": -788, "spacegroup": "F-43m", "vol_a3_per_atom": 35.56, "mass_density_g_cm3": 4.0, "lattice_angstrom": [[5.323, 0.000, 0.000], [2.662, 4.610, 0.000], [2.662, 1.537, 4.347]], "species": ["Ca", "Sr", "Te"], "fractional_positions": [[0.000, 0.000, 0.000], [0.500, 0.500, 0.500], [0.750, 0.750, 0.750]]}

=====

Entry 5:
{"formula": "Be2CdPbO", "functional": "GGA-PBEsol", "state": "relaxed", "crystal_system": "tetragonal", "formation_energy_uncorrected_mev_per_atom": 1065, "spacegroup": "P4/mmm", "vol_a3_per_atom": 21.21, "mass_density_g_cm3": 5.5, "lattice_angstrom": [[-1.310, -3.829, 1.403], [3.881, -0.719, 1.662], [-1.688, 2.402, 4.981]], "species": ["O", "Be", "Be", "Cd", "Pb"], "fractional_positions": [[0.500, 0.500, 0.500], [0.500, 0.000, 0.000], [0.000, 0.500, 0.000], [0.000, 0.000, 0.000], [0.000, 0.000, 0.500]]}

=====

Entry 6:
{"formula": "Ba2Na2In", "functional": "GGA-PBEsol", "state": "relaxed", "crystal_system": "tetragonal", "ef_ev_per_atom": -0.1118, "spacegroup": "I4/mmm", "vol_a3_per_atom": 41.42, "mass_density_g_cm3": 3.5, "lattice_angstrom": [[4.352, 0.000, 0.000], [0.000, 4.352, 0.000], [-2.176, -2.176, 10.937]], "species": ["Ba", "Ba", "Na", "Na", "In"], "fractional_positions": [[0.412, 0.412, 0.824], [0.588, 0.588, 0.176], [0.750, 0.250, 0.500], [0.250, 0.750, 0.500], [0.000, 0.000, 0.000]]}

=====

no.,size of the total moment (μB/f.u.)
1,0.089
2,3.884
3,0.000
4,0.001
5,0.294
6,0.000